Record 1
# Mn4AlMo, PBEsol geometry, DFT SCAN
# **Density of states at the Fermi level**: 0.95 states/eV/atom
# **VASP energy**: -116.237 eV per formula unit
# **ΔH_f (0 K)**: -97 meV/atom
data_Mn4AlMo
_chemical_formula_sum 'Mn16 Al4 Mo4'
_symmetry_space_group_name_H-M 'F -4 3 m'
_symmetry_Int_Tables_number 216
_symmetry_space_group_name_Hall 'F -4 2 3'
_cell_length_a 6.564
_cell_length_b 6.564
_cell_length_c 6.564
_cell_angle_alpha 90.00
_cell_angle_beta 90.00
_cell_angle_gamma 90.00
loop_
_atom_site_label
_atom_site_type_symbol
_atom_site_fract_x
_atom_site_fract_y
_atom_site_fract_z
_atom_site_occupancy
Mn1 Mn 0.124 0.124 0.376 1
Al1 Al 0.250 0.250 0.750 1
Mo1 Mo 0.000 0.000 0.000 1



Record 2
# MnAl3Mo, PBEsol geometry, DFT SCAN
# **Density of states at the Fermi level**: 0.41 states/eV/atom
# **VASP energy**: -73.266 eV per formula unit
# **ΔH_f (0 K)**: 626 meV/atom
data_MnAl3Mo
_chemical_formula_sum 'Mn1 Al3 Mo1'
_symmetry_space_group_name_H-M 'P m -3 m'
_symmetry_Int_Tables_number 221
_symmetry_space_group_name_Hall '-P 4 2 3'
_cell_length_a 4.739
_cell_length_b 4.739
_cell_length_c 4.739
_cell_angle_alpha 90.00
_cell_angle_beta 90.00
_cell_angle_gamma 90.00
loop_
_atom_site_label
_atom_site_type_symbol
_atom_site_fract_x
_atom_site_fract_y
_atom_site_fract_z
_atom_site_occupancy
Mn1 Mn 0.000 0.000 0.000 1
Al1 Al 0.000 0.500 0.500 1
Mo1 Mo 0.500 0.500 0.500 1